BaSr2TlPt: optimized geometry, GGA-PBE.

Structure (POSCAR):
```
BaSr2TlPt
1.0
-4.7861 2.5274 -2.3782
0.2007 -3.8430 -4.4880
-3.5833 -3.8413 3.1291
Tl Sr Pt Ba
1 2 1 1
direct
0.5000 0.5000 0.5000 Tl
0.5000 0.0000 0.0000 Sr
0.0000 0.5000 0.0000 Sr
0.0000 0.0000 0.0000 Pt
0.0000 0.0000 0.5000 Ba
```

Values from the calculation:
The formation energy comes out at -0.4557 eV per atom. The energy relative to the lowest polymorph listed for this composition is 0.0 meV/atom.

=====

PrErPuCd: optimized geometry, GGA-PBE.

Structure (POSCAR):
```
PrErPuCd
1.0
-3.7655 -3.2541 -2.2618
0.6020 -1.7018 -5.1600
1.1776 -5.2378 -1.0309
Pu Er Cd Pr
1 1 1 1
direct
0.2500 0.2500 0.2500 Pu
0.5000 0.5000 0.5000 Er
0.7500 0.7500 0.7500 Cd
0.0000 0.0000 0.0000 Pr
```

Values from the calculation:
The formation energy comes out at 0.0814 eV per atom.

=====

RbZnAu4: optimized geometry, GGA-PBE.

Structure (POSCAR):
```
RbZnAu4
1.0
6.7481 0.0000 0.8375
0.0000 5.6435 0.0000
-0.7621 -2.8218 7.2905
Au Zn Rb
8 2 2
direct
0.4028 0.7319 0.4639 Au
0.5972 0.2681 0.5361 Au
0.3573 0.6564 0.8006 Au
0.6427 0.3436 0.1994 Au
0.3573 0.1442 0.8006 Au
0.0000 0.7522 0.0000 Au
0.0000 0.2478 0.0000 Au
0.6427 0.8558 0.1994 Au
0.6853 0.4440 0.8881 Zn
0.3147 0.5560 0.1119 Zn
0.8745 0.7998 0.5996 Rb
0.1255 0.2002 0.4004 Rb
```

Values from the calculation:
The formation energy comes out at -0.1636 eV per atom. The energy relative to the lowest polymorph listed for this composition is 0.0 meV/atom.

=====

LiNi6Ir: optimized geometry, GGA-PBE.

Structure (POSCAR):
```
LiNi6Ir
1.0
4.8194 0.0000 0.0000
2.4097 4.1737 0.0000
2.4097 1.3912 6.0162
Ni Li Ir
6 1 1
direct
0.9305 0.4482 0.6908 Ni
0.0695 0.0695 0.3092 Ni
0.5518 0.0695 0.3092 Ni
0.0695 0.5518 0.3092 Ni
0.4482 0.9305 0.6908 Ni
0.9305 0.9305 0.6908 Ni
0.5000 0.5000 0.5000 Li
0.0000 0.0000 0.0000 Ir
```

Values from the calculation:
The formation energy comes out at 0.5614 eV per atom. The energy relative to the lowest polymorph listed for this composition is 578.4 meV/atom.

=====

Ordered M_tot results: 0.00; 1.64; 0.00; 0.00; unit μB per atom.
Ordered uncorrected energy results: -3.19; -6.07; -2.72; -5.12; unit eV per atom.